i:
# Y2TiV2

A relaxed structure of Y2TiV2 (PBE, the Alexandria database).

Total moment: 0.0 μB per cell

Cell lengths 3.2926, 3.2926, 20.7317 Å; angles 90.00, 90.00, 90.00 degrees
Last column: nearest neighbours and their distance in Å.
Space group I4/mmm (No. 139)
Unique sites:
Y1 0.0000 0.0000 0.1097 [4 per cell]  4 Ti 3.25, 4 Y 3.29, 4 V 3.34
Ti1 0.0000 0.0000 0.5000 [2 per cell]  8 Y 3.25, 4 Ti 3.29
V1 0.0000 0.5000 0.2500 [4 per cell]  4 V 2.33

ii:
# Y2TiV2

A relaxed structure of Y2TiV2 (PBE, the Alexandria database).

Total moment: 4.1 μB per cell

Cell lengths 8.4329, 8.4329, 3.2518 Å; angles 90.00, 90.00, 90.00 degrees
Last column: nearest neighbours and their distance in Å.
Space group P4/mbm (No. 127)
Unique sites:
Y1 0.2055 0.2945 0.0000 [4 per cell]  2 Ti 3.03, 6 V 3.03-3.09, 2 Y 3.25
Ti1 0.0000 0.0000 0.0000 [2 per cell]  4 Y 3.03, 2 Ti 3.25
V1 0.0802 0.5802 0.5000 [4 per cell]  1 V 1.91

Energy relative to the most stable one, in eV/atom: i 0.000; ii 0.126

i:
# YTi2V

A relaxed structure of YTi2V (PBE, the Alexandria database).

Total moment: 0.0 μB per cell

Cell lengths 3.3226, 3.3226, 7.0739 Å; angles 90.00, 90.00, 90.00 degrees
Last column: nearest neighbours and their distance in Å.
Space group P4/mmm (No. 123)
Unique sites:
Y1 0.0000 0.0000 0.0000 [1 per cell]  8 Ti 3.22, 4 Y 3.32, 2 V 3.54
Ti1 0.5000 0.5000 0.3108 [2 per cell]  1 Ti 2.68, 4 V 2.70
V1 0.0000 0.0000 0.5000 [1 per cell]  8 Ti 2.70

ii:
# YTi2V

A relaxed structure of YTi2V (PBE, the Alexandria database).

Total moment: 1.2 μB per cell

Cell lengths 4.0879, 4.0879, 19.8060 Å; angles 90.00, 90.00, 90.00 degrees
Last column: nearest neighbours and their distance in Å.
Space group I-42d (No. 122)
Unique sites:
Y1 0.0000 0.0000 0.0000 [4 per cell]  4 V 2.89, 4 Ti 2.90
Ti1 0.2295 0.2500 0.6250 [8 per cell]  4 Ti 2.77-3.01, 2 V 2.84, 2 Y 2.90
V1 0.0000 0.0000 0.5000 [4 per cell]  4 Ti 2.84, 4 Y 2.89

Energy relative to the most stable one, in eV/atom: i 0.000; ii 0.512

i:
# TiVZn4

A relaxed structure of TiVZn4 (PBE, the Alexandria database).

Total moment: 0.3 μB per cell

Cell lengths 2.7783, 2.7783, 11.2766 Å; angles 90.00, 90.00, 90.00 degrees
Last column: nearest neighbours and their distance in Å.
Space group P4/mmm (No. 123)
Unique sites:
Ti1 0.0000 0.0000 0.0000 [1 per cell]  8 Zn 2.77, 4 Ti 2.78
V1 0.5000 0.5000 0.5000 [1 per cell]  8 Zn 2.70, 4 V 2.78
Zn1 0.0000 0.0000 0.3359 [2 per cell]  8 Zn 2.68-2.78, 4 V 2.70
Zn2 0.5000 0.5000 0.1737 [2 per cell]  8 Zn 2.68-2.78, 4 Ti 2.77

ii:
# TiVZn4

A relaxed structure of TiVZn4 (PBE, the Alexandria database).

Total moment: 9.1 μB per cell

Cell lengths 7.0669, 7.0669, 7.0669 Å; angles 90.00, 90.00, 90.00 degrees
Last column: nearest neighbours and their distance in Å.
Space group F-43m (No. 216)
Unique sites:
Ti1 0.0000 0.0000 0.0000 [4 per cell]  12 Zn 2.93, 4 V 3.06
V1 0.2500 0.2500 0.7500 [4 per cell]  12 Zn 2.93, 4 Ti 3.06
Zn1 0.1249 0.1249 0.3751 [16 per cell]  6 Zn 2.50

Energy relative to the most stable one, in eV/atom: i 0.000; ii 0.018

i:
# ZrTi2V2

A relaxed structure of ZrTi2V2 (PBE, the Alexandria database).

Total moment: 0.0 μB per cell

Cell lengths 7.5088, 7.5088, 3.0543 Å; angles 90.00, 90.00, 90.00 degrees
Last column: nearest neighbours and their distance in Å.
Space group P4/mbm (No. 127)
Unique sites:
Zr1 0.0000 0.0000 0.0000 [2 per cell]  4 Ti 2.90, 2 Zr 3.05
Ti1 0.1404 0.3596 0.0000 [4 per cell]  6 V 2.62-2.76, 2 Zr 2.90
V1 0.1430 0.6430 0.5000 [4 per cell]  6 Ti 2.62-2.76

ii:
# ZrTi2V2

A relaxed structure of ZrTi2V2 (PBE, the Alexandria database).

Total moment: 0.0 μB per cell

Cell lengths 3.8574, 3.8574, 11.7830 Å; angles 90.00, 90.00, 90.00 degrees
Last column: nearest neighbours and their distance in Å.
Space group I4/mmm (No. 139)
Unique sites:
Zr1 0.0000 0.0000 0.0000 [2 per cell]  8 V 2.94
Ti1 0.0000 0.5000 0.2500 [4 per cell]  4 V 2.68, 4 Ti 2.73
V1 0.0000 0.0000 0.4080 [4 per cell]  1 V 2.17

Energy relative to the most stable one, in eV/atom: i 0.000; ii 0.026

i:
# ZrTi2V2

A relaxed structure of ZrTi2V2 (PBE, the Alexandria database).

Total moment: 0.0 μB per cell

Cell lengths 7.3734, 7.3734, 3.1653 Å; angles 90.00, 90.00, 90.00 degrees
Last column: nearest neighbours and their distance in Å.
Space group P4/mbm (No. 127)
Unique sites:
Zr1 0.0000 0.0000 0.0000 [2 per cell]  4 V 2.83, 2 Zr 3.17
Ti1 0.1422 0.3578 0.5000 [4 per cell]  6 V 2.64-2.73
V1 0.1441 0.6441 0.0000 [4 per cell]  6 Ti 2.64-2.73, 2 Zr 2.83

ii:
# ZrTi2V2

A relaxed structure of ZrTi2V2 (PBE, the Alexandria database).

Total moment: 0.0 μB per cell

Cell lengths 3.7032, 3.7032, 12.7841 Å; angles 90.00, 90.00, 90.00 degrees
Last column: nearest neighbours and their distance in Å.
Space group I4/mmm (No. 139)
Unique sites:
Zr1 0.0000 0.0000 0.0000 [2 per cell]  8 Ti 2.94
Ti1 0.0000 0.0000 0.3963 [4 per cell]  4 V 2.63, 1 Ti 2.65, 4 Zr 2.94
V1 0.0000 0.5000 0.2500 [4 per cell]  4 V 2.62, 4 Ti 2.63

Energy relative to the most stable one, in eV/atom: i 0.000; ii 0.125

i:
# Zr2TiV

A relaxed structure of Zr2TiV (PBE, the Alexandria database).

Total moment: 0.8 μB per cell

Cell lengths 4.7568, 4.7568, 3.4714 Å; angles 90.00, 90.00, 90.00 degrees
Last column: nearest neighbours and their distance in Å.
Space group P4/mmm (No. 123)
Unique sites:
Zr1 0.0000 0.5000 0.0000 [2 per cell]  4 V 2.94, 4 Ti 2.94
Ti1 0.0000 0.0000 0.5000 [1 per cell]  8 Zr 2.94
V1 0.5000 0.5000 0.5000 [1 per cell]  8 Zr 2.94

ii:
# Zr2TiV

A relaxed structure of Zr2TiV (PBE, the Alexandria database).

Total moment: 1.2 μB per cell

Cell lengths 7.3796, 7.3796, 5.7951 Å; angles 90.00, 90.00, 90.00 degrees
Last column: nearest neighbours and their distance in Å.
Space group I-42d (No. 122)
Unique sites:
Zr1 0.2381 0.2500 0.1250 [8 per cell]  2 V 2.65, 2 Ti 2.77, 2 Zr 2.90
Ti1 0.0000 0.0000 0.5000 [4 per cell]  4 Zr 2.77, 2 V 2.90
V1 0.0000 0.0000 0.0000 [4 per cell]  4 Zr 2.65, 2 Ti 2.90

iii:
# Zr2TiV

A relaxed structure of Zr2TiV (PBE, the Alexandria database).

Total moment: 1.5 μB per cell

Cell lengths 6.8167, 6.8167, 6.8167 Å; angles 90.00, 90.00, 90.00 degrees
Last column: nearest neighbours and their distance in Å.
Space group Fm-3m (No. 225)
Unique sites:
Zr1 0.2500 0.2500 0.2500 [8 per cell]  4 Ti 2.95, 4 V 2.95
Ti1 0.0000 0.0000 0.0000 [4 per cell]  8 Zr 2.95
V1 0.0000 0.0000 0.5000 [4 per cell]  8 Zr 2.95

iv:
# Zr2TiV

A relaxed structure of Zr2TiV (PBE, the Alexandria database).

Total moment: 2.5 μB per cell

Cell lengths 3.3328, 3.3328, 6.9827 Å; angles 90.00, 90.00, 90.00 degrees
Last column: nearest neighbours and their distance in Å.
Space group P4/mmm (No. 123)
Unique sites:
Zr1 0.0000 0.0000 0.2368 [2 per cell]  4 V 2.88, 4 Ti 2.99
Ti1 0.5000 0.5000 0.5000 [1 per cell]  8 Zr 2.99, 4 Ti 3.33
V1 0.5000 0.5000 0.0000 [1 per cell]  8 Zr 2.88

Energy relative to the most stable one, in eV/atom: i 0.032; ii 0.436; iii 0.000; iv 0.044

i:
# Ti4W

A relaxed structure of Ti4W (PBE, the Alexandria database).

Total moment: 0.0 μB per cell

Cell lengths 5.2178, 4.6171, 7.1324 Å; angles 90.00, 101.60, 90.00 degrees
Last column: nearest neighbours and their distance in Å.
Space group P2_1/m (No. 11)
Unique sites:
Ti1 0.0340 0.2500 0.3462 [2 per cell]  3 W 2.64-2.85, 4 Ti 2.82-2.88
Ti2 0.1374 0.7500 0.0771 [2 per cell]  1 W 2.74, 8 Ti 2.81-3.02
Ti3 0.2910 0.2500 0.7332 [2 per cell]  1 W 2.55, 7 Ti 2.74-2.85
Ti4 0.4509 0.2500 0.1367 [2 per cell]  7 Ti 2.74-2.88, 1 W 2.85
W1 0.3481 0.7500 0.4611 [2 per cell]  6 Ti 2.55-2.85, 2 W 2.79

ii:
# Ti4W

A relaxed structure of Ti4W (PBE, the Alexandria database).

Total moment: 0.9 μB per cell

Cell lengths 4.7451, 4.7451, 4.7451 Å; angles 90.00, 90.00, 90.00 degrees
Last column: nearest neighbours and their distance in Å.
Space group Pm-3m (No. 221)
Unique sites:
Ti1 0.0000 0.0000 0.0000 [1 per cell]  12 Ti 3.36
Ti2 0.0000 0.5000 0.5000 [3 per cell]  2 W 2.37
W1 0.5000 0.5000 0.5000 [1 per cell]  6 Ti 2.37

Energy relative to the most stable one, in eV/atom: i 0.000; ii 0.898

i:
# TiW4

A relaxed structure of TiW4 (PBE, the Alexandria database).

Total moment: 0.0 μB per cell

Cell lengths 13.0248, 4.4820, 2.7811 Å; angles 90.00, 98.33, 90.00 degrees
Last column: nearest neighbours and their distance in Å.
Space group C2/m (No. 12)
Unique sites:
Ti1 0.0000 0.0000 0.0000 [2 per cell]  6 W 2.74-2.76, 2 Ti 2.78
W1 0.1006 0.5000 0.4070 [4 per cell]  6 W 2.72-2.78, 2 Ti 2.76
W2 0.1992 0.0000 0.7921 [4 per cell]  7 W 2.72-2.78, 1 Ti 2.74

ii:
# TiW4

A relaxed structure of TiW4 (PBE, the Alexandria database).

Total moment: 0.0 μB per cell

Cell lengths 4.5121, 4.5121, 4.5121 Å; angles 90.00, 90.00, 90.00 degrees
Last column: nearest neighbours and their distance in Å.
Space group Pm-3m (No. 221)
Unique sites:
Ti1 0.0000 0.0000 0.0000 [1 per cell]  6 W 2.26
W1 0.0000 0.0000 0.5000 [3 per cell]  2 Ti 2.26
W2 0.5000 0.5000 0.5000 [1 per cell]  12 W 3.19

Energy relative to the most stable one, in eV/atom: i 0.000; ii 2.071